Entry from Alexandria: RbTi6Se12 after structural relaxation (GGA-PBE).

abc: 12.6598 12.6598 9.2601
angles: 90.00 90.00 120.00
Space group R-3m (No. 166, hexagonal axes)
Unique sites:
Rb 0.0000 0.0000 0.0000 [3 per cell]
Ti 0.0774 0.5387 0.2766 [18 per cell]
Se 0.0000 0.3782 0.5000 [18 per cell]
Se 0.0901 0.1802 0.3483 [18 per cell]

Calculated values
As for the uncorrected formation energy: -829.5 meV/atom. The total energy is -317.738 eV for the cell shown. The density of states at the Fermi level comes out at 0.51 states/eV/atom.